Entry 1:
Entry from Alexandria via LeMat-Bulk: a relaxed structure of Pm2TmGa2 (PBE).

a b c (Å): 7.689 7.689 4.477
angles (deg): 90.00 90.00 90.00
Fractional positions:
Pm1 0.175 0.325 0.000
Pm2 0.325 0.825 0.000
Pm3 0.675 0.175 0.000
Pm4 0.825 0.675 0.000
Tm1 0.000 0.000 0.500
Tm2 0.500 0.500 0.500
Ga1 0.120 0.620 0.500
Ga2 0.380 0.120 0.500
Ga3 0.620 0.880 0.500
Ga4 0.880 0.380 0.500

Results
The crystal system is tetragonal. The value obtained for the relative energy among the computed polymorphs is 0.000 eV/atom. For the formation energy from the elements, the calculation gives -0.52 eV/atom.



Entry 2:
Entry from Alexandria via LeMat-Bulk: a relaxed structure of FeAs (PBE).

a b c (Å): 5.247 5.247 5.247
angles (deg): 46.14 46.14 46.14
Fractional positions:
Fe1 0.088 0.088 0.088
Fe2 0.912 0.912 0.912
As1 0.258 0.258 0.258
As2 0.742 0.742 0.742

Results
The crystal system is trigonal. For the formation energy from the elements, the calculation gives 0.20 eV/atom.



Entry 3:
Entry from Alexandria via LeMat-Bulk: a relaxed structure of PmDyTmTl (PBE).

a b c (Å): 4.830 4.873 4.909
angles (deg): 90.00 90.00 90.00
Fractional positions:
Pm1 0.000 0.000 0.000
Dy1 0.500 0.500 0.000
Tm1 0.500 0.000 0.500
Tl1 0.000 0.500 0.500

Results
The crystal system is orthorhombic. The value obtained for the relative energy among the computed polymorphs is 0.000 eV/atom. For the formation energy from the elements, the calculation gives -0.18 eV/atom.



Entry 4:
Entry from Alexandria via LeMat-Bulk: a relaxed structure of KLiMg2Ga (PBE).

a b c (Å): 5.217 5.217 4.971
angles (deg): 90.00 90.00 90.00
Fractional positions:
K1 0.000 0.000 0.000
Li1 0.500 0.500 0.500
Mg1 0.000 0.500 0.500
Mg2 0.500 0.000 0.500
Ga1 0.500 0.500 0.000

Results
The crystal system is tetragonal. The value obtained for the relative energy among the computed polymorphs is 0.139 eV/atom. For the formation energy from the elements, the calculation gives 0.19 eV/atom.



Entry 5:
Entry from Alexandria via LeMat-Bulk: a relaxed structure of Pm3DyAl4 (PBE).

a b c (Å): 3.673 3.673 14.707
angles (deg): 90.00 90.00 90.00
Fractional positions:
Pm1 0.000 0.000 0.000
Pm2 0.000 0.000 0.254
Pm3 0.000 0.000 0.746
Dy1 0.000 0.000 0.500
Al1 0.500 0.500 0.127
Al2 0.500 0.500 0.383
Al3 0.500 0.500 0.617
Al4 0.500 0.500 0.873

Results
The crystal system is tetragonal. For the formation energy from the elements, the calculation gives -0.38 eV/atom.



Entry 6:
Entry from Alexandria via LeMat-Bulk: a relaxed structure of LiAs2S6 (PBE).

a b c (Å): 8.385 8.385 6.089
angles (deg): 101.27 101.27 87.03
Fractional positions:
Li1 0.120 0.880 0.750
Li2 0.880 0.120 0.250
As1 0.202 0.377 0.771
As2 0.377 0.202 0.271
As3 0.623 0.798 0.729
As4 0.798 0.623 0.229
S1 0.022 0.186 0.680
S2 0.136 0.610 0.960
S3 0.186 0.022 0.180
S4 0.285 0.443 0.470
S5 0.390 0.864 0.540
S6 0.443 0.285 0.970
S7 0.557 0.715 0.030
S8 0.610 0.136 0.460
S9 0.715 0.557 0.530
S10 0.814 0.978 0.820
S11 0.864 0.390 0.040
S12 0.978 0.814 0.320

Results
The crystal system is monoclinic. As for the uncorrected formation energy: -2.2 kJ per mole of atoms.



Entry 7:
Entry from Alexandria via LeMat-Bulk: a relaxed structure of GdLu2Mg (PBE).

a b c (Å): 3.523 3.523 9.224
angles (deg): 90.00 90.00 90.00
Fractional positions:
Gd1 0.000 0.000 0.000
Lu1 0.500 0.500 0.266
Lu2 0.500 0.500 0.734
Mg1 0.000 0.000 0.500

Results
The crystal system is tetragonal. The value obtained for the relative energy among the computed polymorphs is 0.000 eV/atom. For the formation energy from the elements, the calculation gives -0.01 eV/atom.



Entry 8:
Entry from Alexandria via LeMat-Bulk: a relaxed structure of CdRe2Te (PBE).

a b c (Å): 9.062 9.062 9.062
angles (deg): 19.42 19.42 19.42
Fractional positions:
Cd1 0.000 0.000 0.000
Re1 0.244 0.244 0.244
Re2 0.756 0.756 0.756
Te1 0.500 0.500 0.500

Results
The crystal system is trigonal. The value obtained for the relative energy among the computed polymorphs is 0.495 eV/atom. As for the uncorrected formation energy: 84.4 kJ per mole of atoms.



Q: Number 1 is which compound?
A: Pm2TmGa2